Record 1
! CaIrPt (GGA-PBE, optimized geometry); values from VASP
! Magnetic moment = 0.0 μB/cell
! Energy = -4.9781 eV/atom
! D(E_F) = 1.162 states/eV per atom
&SYSTEM
  ibrav = 0, nat = 3, ntyp = 3
/
ATOMIC_SPECIES
Ca 40.08 Ca.upf
Ir 192.22 Ir.upf
Pt 195.08 Pt.upf
CELL_PARAMETERS angstrom
0.0000 3.1685 3.1685
3.1685 0.0000 3.1685
3.1685 3.1685 0.0000
ATOMIC_POSITIONS crystal
Ca 0.0000 0.0000 0.0000
Ir 0.2500 0.2500 0.2500
Pt 0.7500 0.7500 0.7500

Record 2
! Li2AcAl6 (GGA-PBE, optimized geometry); values from VASP
! Magnetic moment = 0.0 μB/cell
! Energy = -3.4656 eV/atom
! D(E_F) = 0.383 states/eV per atom
&SYSTEM
  ibrav = 0, nat = 9, ntyp = 3
/
ATOMIC_SPECIES
Li 6.94 Li.upf
Ac 227.00 Ac.upf
Al 26.98 Al.upf
CELL_PARAMETERS angstrom
-2.2051 3.7253 6.0163
2.2051 -3.7253 6.0163
2.2051 3.7253 -6.0163
ATOMIC_POSITIONS crystal
Li 0.1132 0.1132 0.0000
Li 0.8868 0.8868 0.0000
Ac 0.5000 0.0000 0.5000
Al 0.1137 0.3023 0.8114
Al 0.1682 0.5000 0.6682
Al 0.4909 0.3023 0.1886
Al 0.5091 0.6977 0.8114
Al 0.8318 0.5000 0.3318
Al 0.8863 0.6977 0.1886

Please write out number 1 again, unchanged.
! CaIrPt (GGA-PBE, optimized geometry); values from VASP
! Magnetic moment = 0.0 μB/cell
! Energy = -4.9781 eV/atom
! D(E_F) = 1.162 states/eV per atom
&SYSTEM
  ibrav = 0, nat = 3, ntyp = 3
/
ATOMIC_SPECIES
Ca 40.08 Ca.upf
Ir 192.22 Ir.upf
Pt 195.08 Pt.upf
CELL_PARAMETERS angstrom
0.0000 3.1685 3.1685
3.1685 0.0000 3.1685
3.1685 3.1685 0.0000
ATOMIC_POSITIONS crystal
Ca 0.0000 0.0000 0.0000
Ir 0.2500 0.2500 0.2500
Pt 0.7500 0.7500 0.7500